Record 1
PBE Zn2FeAs, relaxed; V = 14.31 Å³/atom; ΔE_f = 135 meV/atom
1.0
4.978 0.000 0.000
2.271 4.430 0.000
-3.624 -2.215 2.596
Zn Fe As
2 1 1
Direct
0.000 0.000 0.000 Zn
0.500 0.500 0.000 Zn
0.750 0.250 0.500 Fe
0.250 0.750 0.500 As

=====

Record 2
PBE Tb5YTm2, relaxed; V = 31.46 Å³/atom; ΔE_f = 17 meV/atom; excess energy over the best structure of this formula in the dataset = 0 meV/atom
1.0
-2.900 4.043 0.548
-4.710 -2.764 -4.523
-6.701 -6.272 10.811
Tm Tb Y
4 10 2
Direct
0.500 0.250 0.625 Tm
0.500 0.750 0.875 Tm
0.500 0.250 0.125 Tm
0.500 0.750 0.375 Tm
0.500 0.251 0.375 Tb
0.000 0.000 0.000 Tb
0.000 0.000 0.250 Tb
0.500 0.749 0.625 Tb
0.000 0.500 0.750 Tb
0.000 0.500 0.500 Tb
0.500 0.751 0.125 Tb
0.500 0.249 0.875 Tb
0.000 0.500 0.250 Tb
0.000 0.000 0.750 Tb
0.000 0.500 0.000 Y
0.000 0.000 0.500 Y

=====

Record 3
PBE Rb2CaMgH6, relaxed; raw total energy = -28.78 eV/cell; V = 16.04 Å³/atom
1.0
-2.505 2.850 2.103
-2.296 0.655 -3.622
-5.297 -6.293 2.220
Ca H Rb Mg
1 6 2 1
Direct
0.500 0.500 0.000 Ca
0.500 0.000 0.500 H
0.000 0.500 0.000 H
0.500 0.500 0.272 H
0.000 0.500 0.500 H
0.500 0.000 0.000 H
0.500 0.500 0.728 H
0.000 0.000 0.265 Rb
0.000 0.000 0.735 Rb
0.500 0.500 0.500 Mg

=====

Record 4
PBE K3Cr5S12, relaxed; formation energy (no corrections) = -12.08 eV/f.u.; V = 22.26 Å³/atom
1.0
13.226 0.000 0.000
-4.409 12.470 0.000
-4.409 -6.235 10.799
S K Cr
48 12 20
Direct
0.094 0.903 0.400 S
0.194 0.503 0.600 S
0.309 0.806 0.406 S
0.097 0.906 0.100 S
0.400 0.997 0.806 S
0.309 0.503 0.403 S
0.100 0.406 0.097 S
0.594 0.900 0.403 S
0.306 0.406 0.809 S
0.906 0.097 0.600 S
0.900 0.594 0.903 S
0.694 0.594 0.191 S
0.903 0.809 0.503 S
0.194 0.691 0.094 S
0.997 0.597 0.191 S
0.003 0.403 0.809 S
0.503 0.309 0.903 S
0.406 0.306 0.309 S
0.191 0.097 0.997 S
0.191 0.094 0.694 S
0.097 0.191 0.497 S
0.809 0.906 0.306 S
0.594 0.694 0.691 S
0.900 0.306 0.497 S
0.503 0.194 0.100 S
0.806 0.497 0.400 S
0.100 0.694 0.503 S
0.597 0.997 0.691 S
0.691 0.194 0.594 S
0.600 0.597 0.906 S
0.003 0.600 0.694 S
0.497 0.691 0.097 S
0.403 0.003 0.309 S
0.694 0.100 0.003 S
0.806 0.309 0.906 S
0.997 0.400 0.306 S
0.906 0.809 0.806 S
0.600 0.003 0.194 S
0.903 0.094 0.900 S
0.403 0.400 0.594 S
0.406 0.100 0.597 S
0.094 0.191 0.194 S
0.497 0.806 0.900 S
0.400 0.403 0.094 S
0.597 0.600 0.406 S
0.306 0.900 0.997 S
0.809 0.903 0.003 S
0.691 0.497 0.597 S
0.625 0.375 0.750 K
0.125 0.875 0.750 K
0.250 0.125 0.375 K
0.125 0.250 0.875 K
0.750 0.875 0.625 K
0.625 0.250 0.375 K
0.750 0.375 0.125 K
0.250 0.625 0.875 K
0.375 0.625 0.250 K
0.375 0.750 0.625 K
0.875 0.750 0.125 K
0.875 0.125 0.250 K
0.375 0.250 0.125 Cr
0.500 0.000 0.000 Cr
0.625 0.750 0.875 Cr
0.250 0.375 0.625 Cr
0.000 0.500 0.000 Cr
0.000 0.000 0.500 Cr
0.750 0.125 0.875 Cr
0.125 0.375 0.250 Cr
0.500 0.000 0.500 Cr
0.250 0.875 0.125 Cr
0.625 0.875 0.250 Cr
0.000 0.500 0.500 Cr
0.875 0.625 0.750 Cr
0.375 0.125 0.750 Cr
0.750 0.625 0.375 Cr
0.500 0.500 0.500 Cr
0.000 0.000 0.000 Cr
0.875 0.250 0.625 Cr
0.500 0.500 0.000 Cr
0.125 0.750 0.375 Cr

=====

Record 5
PBE LaNdMgHg, relaxed; V = 29.57 Å³/atom; ΔE_f = -293 meV/atom; excess energy over the best structure of this formula in the dataset = 0 meV/atom
1.0
3.909 0.000 0.000
0.000 3.909 0.000
0.000 0.000 7.740
Mg La Hg Nd
1 1 1 1
Direct
0.500 0.500 0.115 Mg
0.000 0.000 0.856 La
0.500 0.500 0.597 Hg
0.000 0.000 0.360 Nd

=====

Record 6
PBE NdHo2F, relaxed; formation energy (no corrections) = -3.52 eV/f.u.; V = 26.52 Å³/atom
1.0
3.612 0.000 0.000
1.806 3.128 0.000
1.806 1.043 9.389
Ho F Nd
2 1 1
Direct
0.881 0.881 0.357 Ho
0.119 0.119 0.643 Ho
0.500 0.500 0.500 F
0.000 0.000 0.000 Nd

=====

Record 7
PBE Y3SbH3, relaxed; V = 17.20 Å³/atom; excess energy over the best structure of this formula in the dataset = 55 meV/atom
1.0
-1.945 2.850 -5.177
-2.214 -5.405 -2.144
-5.480 1.172 2.704
Y H Sb
6 6 2
Direct
0.500 0.000 0.750 Y
0.750 0.500 0.000 Y
0.000 0.250 0.500 Y
0.500 0.000 0.250 Y
0.000 0.750 0.500 Y
0.250 0.500 0.000 Y
0.500 0.250 0.000 H
0.500 0.750 0.000 H
0.000 0.500 0.250 H
0.250 0.000 0.500 H
0.750 0.000 0.500 H
0.000 0.500 0.750 H
0.500 0.500 0.500 Sb
0.000 0.000 0.000 Sb

=====

Record 8
PBE LiTb2ErAu4, relaxed; V = 22.09 Å³/atom; ΔE_f = -790 meV/atom
1.0
-4.559 0.576 1.954
-0.628 -0.124 4.953
-0.556 8.241 2.654
Au Li Tb Er
4 1 2 1
Direct
0.630 0.630 0.110 Au
0.879 0.879 0.364 Au
0.121 0.121 0.636 Au
0.370 0.370 0.890 Au
0.500 0.500 0.500 Li
0.756 0.756 0.732 Tb
0.244 0.244 0.268 Tb
0.000 0.000 0.000 Er

=====

Record 9
PBE Pr2Ho3Au2, relaxed; V = 28.82 Å³/atom; ΔE_f = -478 meV/atom; excess energy over the best structure of this formula in the dataset = 26 meV/atom
1.0
3.620 -0.460 0.951
-1.373 8.711 1.953
0.243 0.180 6.648
Ho Au Pr
3 2 2
Direct
0.000 0.000 0.000 Ho
0.840 0.184 0.505 Ho
0.160 0.816 0.495 Ho
0.467 0.798 0.865 Au
0.533 0.202 0.135 Au
0.672 0.561 0.219 Pr
0.328 0.439 0.781 Pr

=====

Record 10
PBE CaCdCl4, relaxed; formation energy (no corrections) = -10.37 eV/f.u.; V = 31.57 Å³/atom; excess energy over the best structure of this formula in the dataset = 0 meV/atom
1.0
-2.255 3.265 0.636
-5.321 -4.071 2.032
3.405 1.203 5.897
Ca Cd Cl
1 1 4
Direct
0.500 0.000 0.500 Ca
0.000 0.000 0.000 Cd
0.000 0.212 0.375 Cl
0.500 0.210 0.892 Cl
0.500 0.790 0.108 Cl
0.000 0.788 0.625 Cl

=====

Let's list total magnetization in order: 2.01, 0.00, 0.00, 9.02, 0.00, 0.00, 0.01, 0.00, 0.00, 0.00 μB per formula unit.
Let's list Fermi-level density of states in order: 2.14, 9.77, 0.00, 5.03, 5.42, 5.29, 5.12, 4.61, 7.01, 0.00 states/eV/f.u..